Record 1
# Na2CuH4C4O10

A relaxed structure of Na2CuH4C4O10 (PBE, Alexandria via LeMat-Bulk).

The space group is P-1 (No. 2) and the conventional cell measures 3.725, 7.573 and 9.639 Å, with angles of 71.67, 82.99 and 77.06 degrees. The inequivalent atoms are Na at (0.097, 0.201, 0.075), Cu at (0.500, 0.500, 0.500), H at (0.436, 0.025, 0.705), H at (0.492, 0.179, 0.317), C at (0.216, 0.528, 0.244), C at (0.321, 0.721, 0.224), O at (0.076, 0.502, 0.143), O at (0.274, 0.848, 0.105), O at (0.287, 0.402, 0.370), O at (0.403, 0.893, 0.752) and O at (0.457, 0.735, 0.336).

The magnetization comes out at 1.0 μB/cell. The total energy is -6.288 eV per atom.



Record 2
# Ca2Ni5P4

A relaxed structure of Ca2Ni5P4 (PBE, Alexandria via LeMat-Bulk).

The space group is Fmmm (No. 69) and the conventional cell measures 5.312, 9.715 and 12.787 Å, with angles of 90.00, 90.00 and 90.00 degrees. The inequivalent atoms are Ca at (0.000, 0.000, 0.142), Ni at (0.000, 0.000, 0.500), Ni at (0.250, 0.250, 0.000), Ni at (0.250, 0.250, 0.250) and P at (0.000, 0.157, 0.372).

The magnetization comes out at 0.0 μB/cell. The total energy is -5.645 eV per atom.